1.
ScZnSe2Br (PBE, relaxed); E = -3.53 eV/atom; E above lowest polymorph = 0.241 eV per atom; formation energy from raw total energies = -277 meV per atom
1.0
4.980 0.000 0.000
0.000 4.980 0.000
0.000 0.000 4.925
Sc Zn Se Br
1 1 2 1
direct
0.000 0.000 0.000 Sc
0.500 0.500 0.500 Zn
0.000 0.500 0.500 Se
0.500 0.000 0.500 Se
0.500 0.500 0.000 Br

2.
ZrScSeBr2 (PBE, relaxed); E = -4.81 eV/atom; E above lowest polymorph = 0.000 eV per atom; formation energy from raw total energies = -472 meV per atom
1.0
5.260 0.000 0.000
0.000 5.260 0.000
0.000 0.000 5.299
Zr Sc Se Br
1 1 1 2
direct
0.000 0.000 0.000 Zr
0.500 0.500 0.500 Sc
0.000 0.000 0.500 Se
0.000 0.500 0.000 Br
0.500 0.000 0.000 Br

3.
ZrScSeBr2 (PBE, relaxed); E = -4.78 eV/atom; E above lowest polymorph = 0.034 eV per atom; formation energy from raw total energies = -438 meV per atom
1.0
5.152 0.000 0.000
0.000 5.152 0.000
0.000 0.000 5.257
Zr Sc Se Br
1 1 1 2
direct
0.000 0.000 0.000 Zr
0.500 0.500 0.500 Sc
0.500 0.500 0.000 Se
0.000 0.500 0.500 Br
0.500 0.000 0.500 Br

4.
ScSiBr2 (PBE, relaxed); E = -4.07 eV/atom; E above lowest polymorph = 0.418 eV per atom; formation energy from raw total energies = -296 meV per atom
1.0
3.419 0.000 0.000
0.000 4.534 0.000
0.000 0.000 5.754
Sc Si Br
1 1 2
direct
0.000 0.000 0.000 Sc
0.500 0.000 0.500 Si
0.000 0.500 0.500 Br
0.500 0.500 0.000 Br

5.
ScSiBr2 (PBE, relaxed); E = -4.38 eV/atom; E above lowest polymorph = 0.106 eV per atom; formation energy from raw total energies = -608 meV per atom
1.0
-1.873 2.023 7.581
1.873 -2.023 7.581
1.873 2.023 -7.581
Sc Si Br
1 1 2
direct
0.000 0.000 0.000 Sc
0.500 0.500 0.000 Si
0.143 0.643 0.500 Br
0.857 0.357 0.500 Br

6.
ScSiBr2 (PBE, relaxed); E = -3.81 eV/atom; E above lowest polymorph = 0.683 eV per atom; formation energy from raw total energies = -31 meV per atom
1.0
3.239 -4.007 0.000
3.239 4.007 0.000
0.000 0.000 3.427
Sc Si Br
1 1 2
direct
0.000 0.000 0.000 Sc
0.500 0.500 0.000 Si
0.000 0.500 0.500 Br
0.500 0.000 0.500 Br

7.
ScSi2Br (PBE, relaxed); E = -4.58 eV/atom; E above lowest polymorph = 0.760 eV per atom; formation energy from raw total energies = 133 meV per atom
1.0
5.019 0.000 0.000
0.000 5.019 0.000
0.000 0.000 3.134
Sc Si Br
1 2 1
direct
0.000 0.000 0.000 Sc
0.000 0.500 0.500 Si
0.500 0.000 0.500 Si
0.500 0.500 0.000 Br

8.
Sc2Si2Br (PBE, relaxed); E = -5.72 eV/atom; formation energy from raw total energies = -683 meV per atom
1.0
7.395 0.000 0.000
0.000 7.395 0.000
0.000 0.000 3.682
Sc Si Br
4 4 2
direct
0.180 0.320 0.000 Sc
0.320 0.820 0.000 Sc
0.680 0.180 0.000 Sc
0.820 0.680 0.000 Sc
0.110 0.610 0.500 Si
0.390 0.110 0.500 Si
0.610 0.890 0.500 Si
0.890 0.390 0.500 Si
0.000 0.000 0.000 Br
0.500 0.500 0.000 Br

9.
ScSi2Br (PBE, relaxed); E = -4.52 eV/atom; E above lowest polymorph = 0.819 eV per atom; formation energy from raw total energies = 192 meV per atom
1.0
-4.443 4.443 2.462
4.443 -4.443 2.462
4.443 4.443 -2.462
Sc Si Br
2 4 2
direct
0.000 0.000 0.000 Sc
0.750 0.250 0.500 Sc
0.070 0.625 0.945 Si
0.375 0.320 0.445 Si
0.680 0.125 0.055 Si
0.875 0.930 0.555 Si
0.250 0.750 0.500 Br
0.500 0.500 0.000 Br

10.
ScSi2Br (PBE, relaxed); E = -4.88 eV/atom; E above lowest polymorph = 0.458 eV per atom; formation energy from raw total energies = -168 meV per atom
1.0
-1.840 2.682 4.049
1.840 -2.682 4.049
1.840 2.682 -4.049
Sc Si Br
1 2 1
direct
0.000 0.000 0.000 Sc
0.266 0.766 0.500 Si
0.437 0.437 0.000 Si
0.729 0.229 0.500 Br

11.
ScSi2Br (PBE, relaxed); E = -4.22 eV/atom; E above lowest polymorph = 1.118 eV per atom; formation energy from raw total energies = 491 meV per atom
1.0
0.000 3.443 3.443
3.443 0.000 3.443
3.443 3.443 0.000
Sc Si Br
1 2 1
direct
0.000 0.000 0.000 Sc
0.250 0.250 0.250 Si
0.750 0.750 0.750 Si
0.500 0.500 0.500 Br

12.
Sc3SiBr3 (PBE, relaxed); E = -5.46 eV/atom; formation energy from raw total energies = -1252 meV per atom
1.0
-5.514 5.514 5.514
5.514 -5.514 5.514
5.514 5.514 -5.514
Sc Si Br
12 4 12
direct
0.014 0.029 0.264 Sc
0.014 0.486 0.750 Sc
0.029 0.264 0.014 Sc
0.236 0.264 0.750 Sc
0.236 0.471 0.486 Sc
0.264 0.014 0.029 Sc
0.264 0.750 0.236 Sc
0.471 0.486 0.236 Sc
0.486 0.236 0.471 Sc
0.486 0.750 0.014 Sc
0.750 0.014 0.486 Sc
0.750 0.236 0.264 Sc
0.000 0.250 0.500 Si
0.250 0.250 0.250 Si
0.250 0.500 0.000 Si
0.500 0.000 0.250 Si
0.250 0.754 0.746 Br
0.250 0.996 0.504 Br
0.504 0.250 0.996 Br
0.504 0.754 0.507 Br
0.507 0.504 0.754 Br
0.746 0.250 0.754 Br
0.746 0.996 0.993 Br
0.754 0.507 0.504 Br
0.754 0.746 0.250 Br
0.993 0.746 0.996 Br
0.996 0.504 0.250 Br
0.996 0.993 0.746 Br

| no. | ρ (g/cm3) |
| --- | --- |
| 1 | 4.73 |
| 2 | 4.25 |
| 3 | 4.46 |
| 4 | 4.34 |
| 5 | 3.37 |
| 6 | 4.35 |
| 7 | 3.81 |
| 8 | 3.73 |
| 9 | 3.09 |
| 10 | 3.76 |
| 11 | 3.68 |
| 12 | 3.99 |